Entry 1:
NiP2Pt after structural relaxation. Source: the Alexandria database, functional GGA-PBE.

The structure in CIF format:
```
data_NiP2Pt
_chemical_formula_sum 'Ni1 P2 Pt1'
_space_group_name_H-M_alt 'P 1'
_space_group_IT_number 1
_cell_length_a 4.132
_cell_length_b 4.132
_cell_length_c 3.198
_cell_angle_alpha 90.00
_cell_angle_beta 90.00
_cell_angle_gamma 90.00
loop_
_space_group_symop_operation_xyz
'x,y,z'
loop_
_atom_site_label
_atom_site_type_symbol
_atom_site_fract_x
_atom_site_fract_y
_atom_site_fract_z
Ni1 Ni 0.000 0.000 0.000
P1 P 0.000 0.500 0.500
P2 P 0.500 0.000 0.500
Pt1 Pt 0.500 0.500 0.000
```

Values from the calculation:
Calculated density in g cm⁻³: 9.600
Polymorph energy (0 for the lowest one) in kJ/mol of formula units: 161
Crystal system: tetragonal


Entry 2:
NiPPt2 after structural relaxation. Source: the Alexandria database, functional GGA-PBE.

The structure in CIF format:
```
data_NiPPt2
_chemical_formula_sum 'Ni1 P1 Pt2'
_space_group_name_H-M_alt 'P 1'
_space_group_IT_number 1
_cell_length_a 8.131
_cell_length_b 8.131
_cell_length_c 8.131
_cell_angle_alpha 20.10
_cell_angle_beta 20.10
_cell_angle_gamma 20.10
loop_
_space_group_symop_operation_xyz
'x,y,z'
loop_
_atom_site_label
_atom_site_type_symbol
_atom_site_fract_x
_atom_site_fract_y
_atom_site_fract_z
Ni1 Ni 0.000 0.000 0.000
P1 P 0.730 0.730 0.730
Pt1 Pt 0.244 0.244 0.244
Pt2 Pt 0.476 0.476 0.476
```

Values from the calculation:
Calculated density in g cm⁻³: 14.341
Crystal system: trigonal
E_tot in eV/f.u.: -24.02


Entry 3:
NiPPt2 after structural relaxation. Source: the Alexandria database, functional GGA-PBE.

The structure in CIF format:
```
data_NiPPt2
_chemical_formula_sum 'Ni1 P1 Pt2'
_space_group_name_H-M_alt 'P 1'
_space_group_IT_number 1
_cell_length_a 4.391
_cell_length_b 4.391
_cell_length_c 3.005
_cell_angle_alpha 90.00
_cell_angle_beta 90.00
_cell_angle_gamma 103.92
loop_
_space_group_symop_operation_xyz
'x,y,z'
loop_
_atom_site_label
_atom_site_type_symbol
_atom_site_fract_x
_atom_site_fract_y
_atom_site_fract_z
Ni1 Ni 0.000 0.000 0.000
P1 P 0.500 0.500 0.000
Pt1 Pt 0.000 0.500 0.500
Pt2 Pt 0.500 0.000 0.500
```

Values from the calculation:
Calculated density in g cm⁻³: 14.172
Crystal system: orthorhombic
E_tot in eV/f.u.: -23.31


Entry 4:
NiPPtS2 after structural relaxation. Source: the Alexandria database, functional GGA-PBE.

The structure in CIF format:
```
data_NiPPtS2
_chemical_formula_sum 'Ni1 P1 Pt1 S2'
_space_group_name_H-M_alt 'P 1'
_space_group_IT_number 1
_cell_length_a 4.442
_cell_length_b 4.442
_cell_length_c 4.243
_cell_angle_alpha 90.00
_cell_angle_beta 90.00
_cell_angle_gamma 90.00
loop_
_space_group_symop_operation_xyz
'x,y,z'
loop_
_atom_site_label
_atom_site_type_symbol
_atom_site_fract_x
_atom_site_fract_y
_atom_site_fract_z
Ni1 Ni 0.000 0.000 0.000
P1 P 0.000 0.000 0.500
Pt1 Pt 0.500 0.500 0.500
S1 S 0.000 0.500 0.000
S2 S 0.500 0.000 0.000
```

Values from the calculation:
Calculated density in g cm⁻³: 6.920
Polymorph energy (0 for the lowest one) in kJ/mol of formula units: 0
Crystal system: tetragonal


Question: What is the formula in the fourth record?
Answer: NiPPtS2